The following is a PBE calculation of an optimized crystal structure of NaNpCl2F6, from the Alexandria database.

The space group is Pmmn (No. 59, origin choice 2) and the conventional cell measures 6.6435, 8.7646 and 5.9045 Å, with angles of 90.00, 90.00 and 90.00 degrees. The asymmetric unit holds Na at (0.2500, 0.2500, 0.1698), Np at (0.2500, 0.7500, 0.3519), Cl at (0.2500, 0.5558, 0.6872), F at (0.0359, 0.2500, 0.5058), F at (0.0374, 0.7500, 0.0867) and F at (0.2500, 0.5299, 0.2192).

For the density of states at the Fermi level, the calculation gives 0.0948 states/eV/atom. As for the total energy: -5.25 eV per atom. The value obtained for the raw formation energy is -2328 meV per atom. As for the size of the total moment: 0.12 μB/cell.

=====

The following is a PBE calculation of an optimized crystal structure of Na6Cl2OF2, from the Alexandria database.

The space group is C2/m (No. 12) and the conventional cell measures 6.3137, 10.4955 and 6.7595 Å, with angles of 90.00, 110.85 and 90.00 degrees. The asymmetric unit holds Na at (0.2120, 0.1667, 0.1922), Na at (0.2385, 0.0000, 0.8175), Cl at (0.0000, 0.1752, 0.5000), O at (0.0000, 0.0000, 0.0000) and F at (0.0000, 0.3395, 0.0000).

For the density of states at the Fermi level, the calculation gives 0.0000 states/eV/atom. As for the total energy: -3.77 eV per atom. The value obtained for the raw formation energy is -1926 meV per atom. As for the size of the total moment: 0.21 μB/cell.

=====

The following is a PBE calculation of an optimized crystal structure of Na6S2ClO8F, from the Alexandria database.

The space group is Fm-3m (No. 225) and the conventional cell measures 10.1908, 10.1908 and 10.1908 Å, with angles of 90.00, 90.00 and 90.00 degrees. The asymmetric unit holds Na at (0.0000, 0.0000, 0.2228), S at (0.2500, 0.2500, 0.2500), Cl at (0.0000, 0.0000, 0.5000), O at (0.1653, 0.1653, 0.1653) and F at (0.0000, 0.0000, 0.0000).

For the density of states at the Fermi level, the calculation gives 0.0000 states/eV/atom. As for the total energy: -5.23 eV per atom. The value obtained for the raw formation energy is -1923 meV per atom. As for the size of the total moment: 0.00 μB/cell.

=====

The following is a PBE calculation of an optimized crystal structure of NaPCl2F, from the Alexandria database.

The space group is P4/mmm (No. 123) and the conventional cell measures 4.9305, 4.9305 and 6.7294 Å, with angles of 90.00, 90.00 and 90.00 degrees. The asymmetric unit holds Na at (0.0000, 0.0000, 0.0000), P at (0.0000, 0.0000, 0.5000), Cl at (0.0000, 0.5000, 0.0000) and F at (0.5000, 0.5000, 0.5000).

For the polymorph energy (0 for the lowest one), the calculation gives 854 meV/atom. For the density of states at the Fermi level, the calculation gives 0.9768 states/eV/atom. As for the total energy: -2.18 eV per atom. The value obtained for the raw formation energy is 278 meV per atom. As for the size of the total moment: 0.99 μB/cell.

=====

The following is a PBE calculation of an optimized crystal structure of NaP2ClF, from the Alexandria database.

The space group is P4/mmm (No. 123) and the conventional cell measures 5.0433, 5.0433 and 4.8266 Å, with angles of 90.00, 90.00 and 90.00 degrees. The asymmetric unit holds Na at (0.0000, 0.0000, 0.0000), P at (0.0000, 0.5000, 0.0000), Cl at (0.0000, 0.0000, 0.5000) and F at (0.5000, 0.5000, 0.5000).

For the polymorph energy (0 for the lowest one), the calculation gives 986 meV/atom. For the density of states at the Fermi level, the calculation gives 1.0688 states/eV/atom. As for the total energy: -2.26 eV per atom. The value obtained for the raw formation energy is 910 meV per atom. As for the size of the total moment: 0.92 μB/cell.

=====

The following is a PBE calculation of an optimized crystal structure of NaP2ClF, from the Alexandria database.

The space group is P4/mmm (No. 123) and the conventional cell measures 4.0966, 4.0966 and 6.7315 Å, with angles of 90.00, 90.00 and 90.00 degrees. The asymmetric unit holds Na at (0.0000, 0.0000, 0.0000), P at (0.0000, 0.5000, 0.5000), Cl at (0.5000, 0.5000, 0.0000) and F at (0.5000, 0.5000, 0.5000).

For the polymorph energy (0 for the lowest one), the calculation gives 0 meV/atom. For the density of states at the Fermi level, the calculation gives 0.7181 states/eV/atom. As for the total energy: -3.25 eV per atom. The value obtained for the raw formation energy is -77 meV per atom. As for the size of the total moment: 0.00 μB/cell.

=====

The following is a PBE calculation of an optimized crystal structure of NaPClF6, from the Alexandria database.

The space group is C2 (No. 5) and the conventional cell measures 5.6166, 9.7872 and 6.3369 Å, with angles of 90.00, 90.21 and 90.00 degrees. The asymmetric unit holds Na at (0.0000, 0.0000, 0.0000), P at (0.0000, 0.6675, 0.0000), Cl at (0.0000, 0.3344, 0.5000), F at (0.1167, 0.7875, 0.1488), F at (0.1226, 0.5496, 0.1489) and F at (0.2391, 0.6655, 0.8523).

For the density of states at the Fermi level, the calculation gives 0.0864 states/eV/atom. As for the total energy: -4.43 eV per atom. The value obtained for the raw formation energy is -2230 meV per atom. As for the size of the total moment: 2.01 μB/cell.

=====

The following is a PBE calculation of an optimized crystal structure of NaPCl2F, from the Alexandria database.

The space group is P4/mmm (No. 123) and the conventional cell measures 5.5229, 5.5229 and 3.6245 Å, with angles of 90.00, 90.00 and 90.00 degrees. The asymmetric unit holds Na at (0.0000, 0.0000, 0.0000), P at (0.5000, 0.5000, 0.0000), Cl at (0.0000, 0.5000, 0.5000) and F at (0.5000, 0.5000, 0.5000).

For the polymorph energy (0 for the lowest one), the calculation gives 0 meV/atom. For the density of states at the Fermi level, the calculation gives 0.2459 states/eV/atom. As for the total energy: -3.03 eV per atom. The value obtained for the raw formation energy is -576 meV per atom. As for the size of the total moment: 0.00 μB/cell.

=====

The following is a PBE calculation of an optimized crystal structure of NaPaClF4, from the Alexandria database.

The space group is C2/m (No. 12) and the conventional cell measures 10.9262, 7.3068 and 7.6562 Å, with angles of 90.00, 106.67 and 90.00 degrees. The asymmetric unit holds Na at (0.1347, 0.0000, 0.3089), Pa at (0.2255, 0.5000, 0.1031), Cl at (0.0055, 0.5000, 0.7882), F at (0.0703, 0.0000, 0.8315), F at (0.2203, 0.1911, 0.1406) and F at (0.2217, 0.0000, 0.6026).

For the density of states at the Fermi level, the calculation gives 0.0767 states/eV/atom. As for the total energy: -6.08 eV per atom. The value obtained for the raw formation energy is -3206 meV per atom. As for the size of the total moment: 4.01 μB/cell.

=====

The following is a PBE calculation of an optimized crystal structure of Na2PdCl2F2, from the Alexandria database.

The space group is C2/m (No. 12) and the conventional cell measures 12.2384, 3.7516 and 6.5308 Å, with angles of 90.00, 115.82 and 90.00 degrees. The asymmetric unit holds Na at (0.2227, 0.0000, 0.1853), Pd at (0.0000, 0.0000, 0.5000), Cl at (0.0816, 0.5000, 0.3388) and F at (0.1735, 0.0000, 0.8075).

As for the total energy: -3.80 eV per atom. The value obtained for the raw formation energy is -1620 meV per atom. As for the size of the total moment: 4.00 μB/cell.

=====

The following is a PBE calculation of an optimized crystal structure of NaPm2Cl2F5, from the Alexandria database.

The space group is P4/mbm (No. 127) and the conventional cell measures 9.7876, 9.7876 and 3.5422 Å, with angles of 90.00, 90.00 and 90.00 degrees. The asymmetric unit holds Na at (0.0000, 0.0000, 0.0000), Pm at (0.1331, 0.3669, 0.0000), Cl at (0.1642, 0.6642, 0.0000), F at (0.0000, 0.5000, 0.5000) and F at (0.0778, 0.2190, 0.5000).

For the density of states at the Fermi level, the calculation gives 0.0000 states/eV/atom. As for the total energy: -5.58 eV per atom. The value obtained for the raw formation energy is -3189 meV per atom. As for the size of the total moment: 0.00 μB/cell.

=====

The following is a PBE calculation of an optimized crystal structure of Na2PtCl2F4, from the Alexandria database.

The space group is C2/m (No. 12) and the conventional cell measures 10.6911, 5.7885 and 6.4088 Å, with angles of 90.00, 111.72 and 90.00 degrees. The asymmetric unit holds Na at (0.2352, 0.0000, 0.1641), Pt at (0.0000, 0.5000, 0.0000), Cl at (0.1827, 0.5000, 0.3392) and F at (0.0984, 0.2640, 0.8955).

For the density of states at the Fermi level, the calculation gives 0.0000 states/eV/atom. As for the total energy: -3.93 eV per atom. The value obtained for the raw formation energy is -1725 meV per atom. As for the size of the total moment: 0.00 μB/cell.